Record 1
# Sm8Al2Ga (PBE, relaxed)
# **ΔE to the lowest computed polymorph**: 0.00 kcal/mol of atoms
# **Formation energy**: -0.2094 eV per atom
# **Total magnetic moment**: 0.00 μB/atom
# **Calculated volume**: 644.1 Å³ per cell
data_Sm8Al2Ga
_chemical_formula_sum 'Sm16 Al4 Ga2'
_cell_length_a 18.695
_cell_length_b 5.168
_cell_length_c 6.893
_cell_angle_alpha 90.00
_cell_angle_beta 104.69
_cell_angle_gamma 90.00
_space_group_name_H-M_alt 'C 1 2/m 1'
_space_group_IT_number 12
_space_group_name_Hall '-C 2y'
loop_
_atom_site_label
_atom_site_type_symbol
_atom_site_fract_x
_atom_site_fract_y
_atom_site_fract_z
Sm1 Sm 0.018 0.000 0.269
Sm2 Sm 0.094 0.500 0.964
Sm3 Sm 0.158 0.500 0.468
Sm4 Sm 0.207 0.000 0.802
Al1 Al 0.184 0.000 0.236
Ga1 Ga 0.000 0.500 0.500

=====

Record 2
# SmAlGa2 (PBE, relaxed)
# **Formation energy**: -0.4406 eV per atom
# **Total magnetic moment**: 0.00 μB/atom
# **Calculated volume**: 253.2 Å³ per cell
data_SmAlGa2
_chemical_formula_sum 'Sm3 Al3 Ga6'
_cell_length_a 4.3259
_cell_length_b 4.3259
_cell_length_c 15.6253
_cell_angle_alpha 90.00
_cell_angle_beta 90.00
_cell_angle_gamma 120.00
_space_group_name_H-M_alt 'R -3 m'
_space_group_IT_number 166
_space_group_name_Hall '-R 3 2"'
loop_
_atom_site_label
_atom_site_type_symbol
_atom_site_fract_x
_atom_site_fract_y
_atom_site_fract_z
Sm1 Sm 0.0000 0.0000 0.0000
Al1 Al 0.0000 0.0000 0.5000
Ga1 Ga 0.0000 0.0000 0.2220

=====

Record 3
# SmAl2Ga (PBE, relaxed)
# **Formation energy**: 0.2466 eV per atom
# **Total magnetic moment**: 0.00 μB/atom
# **Calculated volume**: 270.0 Å³ per cell
data_SmAl2Ga
_chemical_formula_sum 'Sm3 Al6 Ga3'
_cell_length_a 3.1875
_cell_length_b 3.1875
_cell_length_c 30.6862
_cell_angle_alpha 90.00
_cell_angle_beta 90.00
_cell_angle_gamma 120.00
_space_group_name_H-M_alt 'R -3 m'
_space_group_IT_number 166
_space_group_name_Hall '-R 3 2"'
loop_
_atom_site_label
_atom_site_type_symbol
_atom_site_fract_x
_atom_site_fract_y
_atom_site_fract_z
Sm1 Sm 0.0000 0.0000 0.0000
Al1 Al 0.0000 0.0000 0.0994
Ga1 Ga 0.0000 0.0000 0.5000

=====

Record 4
# SmAl3Ga2 (PBE, relaxed)
# **Formation energy**: -0.3033 eV per atom
# **Total magnetic moment**: 0.00 μB/atom
# **Calculated volume**: 481.1 Å³ per cell
data_SmAl3Ga2
_chemical_formula_sum 'Sm4 Al12 Ga8'
_cell_length_a 15.273
_cell_length_b 4.403
_cell_length_c 8.389
_cell_angle_alpha 90.00
_cell_angle_beta 121.47
_cell_angle_gamma 90.00
_space_group_name_H-M_alt 'C 1 2/m 1'
_space_group_IT_number 12
_space_group_name_Hall '-C 2y'
loop_
_atom_site_label
_atom_site_type_symbol
_atom_site_fract_x
_atom_site_fract_y
_atom_site_fract_z
Sm1 Sm 0.150 0.000 0.224
Al1 Al 0.058 0.000 0.740
Al2 Al 0.085 0.500 0.487
Al3 Al 0.215 0.500 0.018
Ga1 Ga 0.021 0.500 0.877
Ga2 Ga 0.184 0.000 0.617

=====

Record 5
# Sm3Al2Ga7 (PBE, relaxed)
# **Formation energy**: -0.4999 eV per atom
# **Total magnetic moment**: 0.00 μB/atom
# **Calculated volume**: 498.5 Å³ per cell
data_Sm3Al2Ga7
_chemical_formula_sum 'Sm6 Al4 Ga14'
_cell_length_a 4.275
_cell_length_b 27.494
_cell_length_c 4.241
_cell_angle_alpha 90.00
_cell_angle_beta 90.00
_cell_angle_gamma 90.00
_space_group_name_H-M_alt 'C m m m'
_space_group_IT_number 65
_space_group_name_Hall '-C 2 2'
loop_
_atom_site_label
_atom_site_type_symbol
_atom_site_fract_x
_atom_site_fract_y
_atom_site_fract_z
Sm1 Sm 0.000 0.000 0.000
Sm2 Sm 0.000 0.179 0.000
Al1 Al 0.000 0.360 0.500
Ga1 Ga 0.000 0.083 0.500
Ga2 Ga 0.000 0.271 0.500
Ga3 Ga 0.000 0.417 0.000
Ga4 Ga 0.000 0.500 0.500

=====

Record 6
# SmAlGa2 (PBE, relaxed)
# **Formation energy**: -0.3229 eV per atom
# **Total magnetic moment**: 0.13 μB/atom
# **Calculated volume**: 82.9 Å³ per cell
data_SmAlGa2
_chemical_formula_sum 'Sm1 Al1 Ga2'
_cell_length_a 3.523
_cell_length_b 3.523
_cell_length_c 6.681
_cell_angle_alpha 90.00
_cell_angle_beta 90.00
_cell_angle_gamma 90.00
_space_group_name_H-M_alt 'P 4/m m m'
_space_group_IT_number 123
_space_group_name_Hall '-P 4 2'
loop_
_atom_site_label
_atom_site_type_symbol
_atom_site_fract_x
_atom_site_fract_y
_atom_site_fract_z
Sm1 Sm 0.000 0.000 0.000
Al1 Al 0.000 0.000 0.500
Ga1 Ga 0.500 0.500 0.300

=====

Among the records above, which one has the highest formation energy? SmAl2Ga

=====

Which value of calculated volume does entry 4 give? 481.1 Å³ per cell

=====

What is the calculated volume in the third record? 270.0 Å³ per cell